# 1
A relaxed structure of Tb2Sc2Sb2C, computed with PBE-GGA.

## Properties
ΔE_f (raw) ... -90.1 kJ per mole of atoms

Cell lengths 4.4975, 4.4975, 15.8031 Å; angles 90.00, 90.00, 90.00 degrees
Closest atoms and distances in Å follow each position.
Space group I4/mmm (No. 139)
Asymmetric unit:
1 Tb 0.0000 0.0000 0.1611  1 C 2.55
2 Sc 0.0000 0.5000 0.0000  2 C 2.25
3 Sb 0.0000 0.0000 0.3628  4 Sc 3.12, 5 Tb 3.19-3.20
4 C 0.0000 0.0000 0.0000  4 Sc 2.25


# 2
A relaxed structure of Tb6Pm2NdHo3, computed with PBE-GGA.

## Properties
Calculated formation energy ... 0.19 eV per formula unit

Cell lengths 6.1978, 10.7291, 11.8464 Å; angles 90.00, 100.00, 90.00 degrees
Closest atoms and distances in Å follow each position.
Space group C2/m (No. 12)
Asymmetric unit:
1 Tb 0.2483 0.0000 0.2462  3 Ho 3.54, 6 Tb 3.58, 1 Nd 3.61, 2 Pm 3.61
2 Tb 0.2480 0.3333 0.2463  3 Ho 3.54, 6 Tb 3.58, 2 Pm 3.61, 1 Nd 3.61
3 Pm 0.0000 0.3334 0.5000  3 Pm 3.58, 3 Nd 3.58, 6 Tb 3.61
4 Nd 0.0000 0.0000 0.5000  6 Pm 3.58, 6 Tb 3.61
5 Ho 0.0000 0.1667 0.0000  6 Tb 3.54, 6 Ho 3.58
6 Ho 0.0000 0.5000 0.0000  6 Tb 3.54, 6 Ho 3.58


# 3
A relaxed structure of MnRe2Sb, computed with PBE-GGA.

## Properties
ΔE_f (raw) ... 50.6 kJ per mole of atoms

Cell lengths 3.2188, 4.3611, 8.9536 Å; angles 90.00, 90.00, 90.00 degrees
Closest atoms and distances in Å follow each position.
Space group Immm (No. 71)
Asymmetric unit:
1 Mn 0.0000 0.0000 0.0000  4 Sb 2.71, 4 Re 2.77
2 Re 0.0000 0.5000 0.2476  4 Re 2.71, 2 Sb 2.74, 2 Mn 2.77
3 Sb 0.0000 0.0000 0.5000  4 Mn 2.71, 4 Re 2.74


# 4
A relaxed structure of SrNiMo2, computed with PBE-GGA.

## Properties
Calculated formation energy ... 3.60 eV per formula unit
Energy above the lowest structure with this stoichiometry ... 0.4481 eV per atom

Cell lengths 5.3238, 10.4244, 2.7358 Å; angles 90.00, 107.65, 90.00 degrees
Closest atoms and distances in Å follow each position.
Space group C2/m (No. 12)
Asymmetric unit:
1 Sr 0.0000 0.0000 0.0000  2 Ni 2.66, 2 Sr 2.74
2 Ni 0.0000 0.5000 0.0000  2 Sr 2.66, 2 Ni 2.74
3 Mo 0.2500 0.2500 0.5000  4 Mo 2.66-2.74


# 5
A relaxed structure of HfFeH2, computed with PBE-GGA.

## Properties
Energy above the lowest structure with this stoichiometry ... 0.0000 eV per atom

Cell lengths 4.1833, 7.0514, 5.1842 Å; angles 90.00, 95.16, 90.00 degrees
Closest atoms and distances in Å follow each position.
Space group C2/c (No. 15)
Asymmetric unit:
1 Hf 0.0000 0.1609 0.2500  6 H 2.10-2.23
2 Fe 0.0000 0.5000 0.0000  2 H 1.59
3 H 0.1879 0.1135 0.8938  1 Fe 1.59


# 6
A relaxed structure of YNiTe2, computed with PBE-GGA.

## Properties
ΔE_f (raw) ... -10.5 kJ per mole of atoms

Cell lengths 7.2597, 7.2597, 7.2597 Å; angles 90.00, 90.00, 90.00 degrees
Closest atoms and distances in Å follow each position.
Space group F-43m (No. 216)
Asymmetric unit:
1 Y 0.0000 0.0000 0.0000  4 Ni 3.14, 4 Te 3.14
2 Ni 0.2500 0.2500 0.7500  4 Te 3.14, 4 Y 3.14
3 Te 0.0000 0.0000 0.5000  4 Te 3.14, 4 Ni 3.14
4 Te 0.2500 0.2500 0.2500  4 Te 3.14, 4 Y 3.14


# 7
A relaxed structure of PmDyGaSi, computed with PBE-GGA.

## Properties
Energy above the lowest structure with this stoichiometry ... 0.0000 eV per atom
ΔE_f (raw) ... -70.3 kJ per mole of atoms

Cell lengths 3.9973, 4.3630, 10.9180 Å; angles 90.00, 90.00, 90.00 degrees
Closest atoms and distances in Å follow each position.
Space group Amm2 (No. 38)
Asymmetric unit:
1 Pm 0.0000 0.0000 0.0000  4 Ga 3.06, 3 Si 3.08-3.23
2 Dy 0.5000 0.0000 0.7185  4 Si 3.04, 3 Ga 3.15-3.17
3 Ga 0.5000 0.0000 0.4297  2 Si 2.57
4 Si 0.0000 0.0000 0.2822  2 Ga 2.57


# 8
A relaxed structure of Li2ZnGa3, computed with PBE-GGA.

## Properties
Calculated formation energy ... -1.41 eV per formula unit

Cell lengths 7.4607, 7.5803, 7.4578 Å; angles 90.00, 107.64, 90.00 degrees
Closest atoms and distances in Å follow each position.
Space group C2/c (No. 15)
Asymmetric unit:
1 Li 0.1242 0.2468 0.1247  9 Ga 2.89-3.02, 3 Zn 2.93-2.96, 2 Li 3.01-3.02
2 Zn 0.0000 0.0855 0.7500  3 Ga 2.52-2.53
3 Ga 0.0000 0.4182 0.7500  1 Zn 2.52, 2 Ga 2.55
4 Ga 0.2460 0.4181 0.5085  1 Zn 2.53, 2 Ga 2.55


# 9
A relaxed structure of LiInSn, computed with PBE-GGA.

## Properties
Calculated formation energy ... -0.54 eV per formula unit

Cell lengths 4.7021, 4.4638, 7.1473 Å; angles 90.00, 108.96, 90.00 degrees
Closest atoms and distances in Å follow each position.
Space group P2/m (No. 10)
Asymmetric unit:
1 Li 0.1592 0.0000 0.3183  4 Sn 3.10-3.19, 6 In 3.16-3.25, 2 Li 3.39-3.41
2 In 0.3246 0.5000 0.6501  2 In 3.10-3.11, 6 Li 3.16-3.25, 4 Sn 3.25-3.34
3 Sn 0.0000 0.5000 0.0000  4 Li 3.10, 4 Sn 3.24, 4 In 3.33-3.34
4 Sn 0.5000 0.0000 0.0000  4 Li 3.18-3.19, 4 Sn 3.24, 4 In 3.25


# 10
A relaxed structure of Pm5Sm4Th, computed with PBE-GGA.

## Properties
Calculated formation energy ... 1.65 eV per formula unit
Energy above the lowest structure with this stoichiometry ... 0.1420 eV per atom

Cell lengths 18.3950, 3.6078, 10.6344 Å; angles 90.00, 96.29, 90.00 degrees
Closest atoms and distances in Å follow each position.
Space group C2/m (No. 12)
Asymmetric unit:
1 Pm 0.0000 0.0000 0.0000  4 Sm 3.32, 2 Pm 3.61
2 Pm 0.1386 0.5000 0.7305  2 Sm 3.45-3.86, 2 Pm 3.61, 2 Th 3.79
3 Pm 0.1909 0.5000 0.0949  1 Sm 3.30, 4 Pm 3.61
4 Sm 0.0482 0.5000 0.2580  4 Pm 3.30-3.45, 2 Th 3.34, 4 Sm 3.35-3.61
5 Sm 0.1801 0.0000 0.4207  6 Sm 3.35-3.61, 1 Th 3.51
6 Th 0.0000 0.0000 0.5000  6 Sm 3.34-3.51, 2 Th 3.61


# 11
A relaxed structure of Rb2Sb7Pb12, computed with PBE-GGA.

## Properties
ΔE_f (raw) ... -4.2 kJ per mole of atoms

Cell lengths 13.6176, 13.6176, 4.5981 Å; angles 90.00, 90.00, 120.00 degrees
Closest atoms and distances in Å follow each position.
Space group P-3 (No. 147)
Asymmetric unit:
1 Rb 0.3333 0.6667 0.2306  6 Sb 3.88-3.90, 3 Pb 4.25
2 Sb 0.0000 0.0000 0.5000  6 Pb 3.28
3 Sb 0.1345 0.7208 0.7265  7 Pb 3.16-3.47
4 Pb 0.0424 0.4326 0.7514  4 Sb 3.16-3.47, 2 Pb 3.47-3.49
5 Pb 0.0930 0.2556 0.2402  4 Sb 3.26-3.34, 1 Pb 3.60


# 12
A relaxed structure of FeTc2MoH, computed with PBE-GGA.

## Properties
Energy above the lowest structure with this stoichiometry ... 0.0000 eV per atom

Cell lengths 3.9289, 3.9289, 3.7637 Å; angles 90.00, 90.00, 90.00 degrees
Closest atoms and distances in Å follow each position.
Space group P4/mmm (No. 123)
Asymmetric unit:
1 Fe 0.0000 0.0000 0.0000  2 H 1.88
2 Tc 0.0000 0.5000 0.5000  2 H 1.96
3 Mo 0.5000 0.5000 0.0000  8 Tc 2.72, 4 Fe 2.78
4 H 0.0000 0.0000 0.5000  2 Fe 1.88, 4 Tc 1.96